Entry 1:
HoTmCCl after structural relaxation. Source: Alexandria, functional GGA-PBE.

## Properties
D(E_F) (states/eV/atom): 0.421
Density (Mg/m³): 8.31
Spin magnetization (μB/f.u.): 0.00
Formation energy from raw total energies (eV per atom): -1.0835

Cell lengths 3.5924, 3.5924, 7.1239 Å; angles 104.55, 104.56, 59.99 degrees
Atoms (fractional coordinates):
Tm 0.5244 0.7871 0.9869
Ho 0.7343 0.9971 0.6152
C 0.1284 0.3911 0.7985
Cl 0.2968 0.5597 0.3023



Entry 2:
YHoCCl after structural relaxation. Source: Alexandria, functional GGA-PBE.

## Properties
D(E_F) (states/eV/atom): 0.456
Density (Mg/m³): 6.38
Spin magnetization (μB/f.u.): 0.00
Formation energy from raw total energies (eV per atom): -1.0858

Cell lengths 3.6319, 3.6320, 7.1780 Å; angles 90.00, 104.65, 120.00 degrees
Atoms (fractional coordinates):
Ho 0.0930 0.9444 0.0528
C 0.3083 0.5521 0.8758
Y 0.5108 0.1533 0.6793
Cl 0.9658 0.3810 0.3618



Entry 3:
KCICl2 after structural relaxation. Source: Alexandria, functional GGA-PBE.

## Properties
D(E_F) (states/eV/atom): 0.733
Density (Mg/m³): 1.96
Spin magnetization (μB/f.u.): 2.37
Formation energy from raw total energies (eV per atom): 0.9223

Cell lengths 5.4401, 7.1263, 5.4401 Å; angles 90.00, 90.00, 90.00 degrees
Each line ends with the local moment (μB).
Atoms (fractional coordinates):
K 0.0000 0.5000 0.0000  0.01
Cl 0.0000 0.0000 0.5000  -0.01
I 0.0000 0.0000 0.0000  -0.04
Cl 0.5000 0.0000 0.0000  -0.01
C 0.5000 0.5000 0.5000  1.08



Entry 4:
La8C3I4Cl after structural relaxation. Source: Alexandria, functional GGA-PBE.

## Properties
D(E_F) (states/eV/atom): 0.540
Density (Mg/m³): 6.26
Spin magnetization (μB/f.u.): 0.00
Formation energy from raw total energies (eV per atom): -0.8802

Cell lengths 8.0891, 9.1855, 8.0856 Å; angles 116.07, 120.01, 90.00 degrees
Atoms (fractional coordinates):
C 0.0000 0.5000 0.5000
La 0.2746 0.3241 0.5491
La 0.7254 0.6759 0.4509
La 0.2992 0.3214 0.0604
Cl 0.0000 0.5000 0.0000
La 0.7611 0.3214 0.0604
La 0.2390 0.6788 0.4780
I 0.5000 0.0000 0.0000
I 0.0000 0.0000 0.0000
I 0.5000 0.0000 0.5000
La 0.7610 0.3212 0.5220
La 0.2389 0.6786 0.9396
C 0.5000 0.5000 0.0000
C 0.5000 0.5000 0.5000
La 0.7008 0.6786 0.9396
I 0.0000 0.0000 0.5000